[1]
A relaxed Pm2ThTl2Zn2 crystal, computed with PBE.

Summary:
The size of the total moment is 0.0000 μB/atom. Its total energy is -3.575 eV per atom. Its formation energy from the elements is -0.823 eV/f.u.

Structure (CIF):
```
data_Pm2ThTl2Zn2
_chemical_formula_sum 'Pm6 Th3 Tl6 Zn6'
_space_group_name_H-M_alt 'R -3 m'
_space_group_IT_number 166
_space_group_name_Hall '-R 3 2"'
_cell_length_a 4.7284
_cell_length_b 4.7284
_cell_length_c 29.6002
_cell_angle_alpha 90.00
_cell_angle_beta 90.00
_cell_angle_gamma 120.00
loop_
_atom_site_label
_atom_site_fract_x
_atom_site_fract_y
_atom_site_fract_z
Pm1 0.0000 0.0000 0.1270
Th1 0.0000 0.0000 0.0000
Tl1 0.0000 0.0000 0.2598
Zn1 0.0000 0.0000 0.3887
```

[2]
A relaxed LiCu5Cl12 crystal, computed with PBE.

Summary:
The size of the total moment is 0.2258 μB/atom. Its uncorrected formation energy is -0.567 eV/atom. Its total energy is -3.042 eV per atom.

Structure (CIF):
```
data_LiCu5Cl12
_chemical_formula_sum 'Li1 Cu5 Cl12'
_space_group_name_H-M_alt 'P -1'
_space_group_IT_number 2
_cell_length_a 5.837
_cell_length_b 6.386
_cell_length_c 12.913
_cell_angle_alpha 91.28
_cell_angle_beta 100.41
_cell_angle_gamma 115.93
loop_
_space_group_symop_operation_xyz
'x,y,z'
'-x,-y,-z'
loop_
_atom_site_label
_atom_site_fract_x
_atom_site_fract_y
_atom_site_fract_z
Li1 0.000 0.000 0.000
Cu1 0.166 0.333 0.500
Cu2 0.333 0.659 0.001
Cu3 0.500 0.000 0.500
Cl1 0.043 0.641 0.102
Cl2 0.166 0.038 0.390
Cl3 0.166 0.628 0.610
Cl4 0.323 0.060 0.888
Cl5 0.420 0.325 0.114
Cl6 0.500 0.295 0.609
```

[3]
A relaxed Zn4Cu3Ni crystal, computed with PBE.

Summary:
The size of the total moment is 0.0000 μB/atom. As for the offset from the most stable computed form: 0.0000 eV/atom. Its total energy is -3.012 eV per atom. Its formation energy from the elements is -0.931 eV/f.u.

Structure (CIF):
```
data_Zn4Cu3Ni
_chemical_formula_sum 'Zn4 Cu3 Ni1'
_space_group_name_H-M_alt 'P 4/m m m'
_space_group_IT_number 123
_space_group_name_Hall '-P 4 2'
_cell_length_a 2.846
_cell_length_b 2.846
_cell_length_c 12.662
_cell_angle_alpha 90.00
_cell_angle_beta 90.00
_cell_angle_gamma 90.00
loop_
_atom_site_label
_atom_site_fract_x
_atom_site_fract_y
_atom_site_fract_z
Zn1 0.000 0.000 0.118
Zn2 0.000 0.000 0.373
Cu1 0.500 0.500 0.245
Cu2 0.500 0.500 0.500
Ni1 0.500 0.500 0.000
```

[4]
A relaxed Ti5In2Fe2Pt crystal, computed with PBE.

Summary:
The size of the total moment is 0.0029 μB/atom. Its total energy is -7.135 eV per atom. Its formation energy from the elements is -3.436 eV/f.u.

Structure (CIF):
```
data_Ti5In2Fe2Pt
_chemical_formula_sum 'Ti10 In4 Fe4 Pt2'
_space_group_name_H-M_alt 'P 4/m b m'
_space_group_IT_number 127
_space_group_name_Hall '-P 4 2ab'
_cell_length_a 10.422
_cell_length_b 10.422
_cell_length_c 3.055
_cell_angle_alpha 90.00
_cell_angle_beta 90.00
_cell_angle_gamma 90.00
loop_
_atom_site_label
_atom_site_fract_x
_atom_site_fract_y
_atom_site_fract_z
Ti1 0.000 0.500 0.000
Ti2 0.070 0.204 0.000
In1 0.173 0.673 0.500
Fe1 0.131 0.369 0.500
Pt1 0.000 0.000 0.500
```

Q: Look up the size of the total moment of the fourth one.
A: 0.0029 μB/atom

Please write out number 2 again, unchanged.
A relaxed LiCu5Cl12 crystal, computed with PBE.

Summary:
The size of the total moment is 0.2258 μB/atom. Its uncorrected formation energy is -0.567 eV/atom. Its total energy is -3.042 eV per atom.

Structure (CIF):
```
data_LiCu5Cl12
_chemical_formula_sum 'Li1 Cu5 Cl12'
_space_group_name_H-M_alt 'P -1'
_space_group_IT_number 2
_cell_length_a 5.837
_cell_length_b 6.386
_cell_length_c 12.913
_cell_angle_alpha 91.28
_cell_angle_beta 100.41
_cell_angle_gamma 115.93
loop_
_space_group_symop_operation_xyz
'x,y,z'
'-x,-y,-z'
loop_
_atom_site_label
_atom_site_fract_x
_atom_site_fract_y
_atom_site_fract_z
Li1 0.000 0.000 0.000
Cu1 0.166 0.333 0.500
Cu2 0.333 0.659 0.001
Cu3 0.500 0.000 0.500
Cl1 0.043 0.641 0.102
Cl2 0.166 0.038 0.390
Cl3 0.166 0.628 0.610
Cl4 0.323 0.060 0.888
Cl5 0.420 0.325 0.114
Cl6 0.500 0.295 0.609
```